Record 1
Density functional theory data (GGA-PBE) for an optimized crystal structure of SrYTcO6.

Values from the calculation:
* E_form (uncorrected): -2.273 eV/atom
* energy: -0.28059 Ha/atom
* symmetry: No. 149

Lattice parameters (Å, degrees): 5.562 5.562 5.242 90.00 90.00 60.00
Positions (direct):
Tc 0.333 0.333 0.500
Y 0.667 0.667 0.500
O 0.046 0.609 0.707
Sr 0.000 0.000 0.000
O 0.345 0.046 0.707
O 0.046 0.345 0.292
O 0.345 0.609 0.292
O 0.609 0.046 0.292
O 0.609 0.345 0.707

---

Record 2
Density functional theory data (GGA-PBE) for an optimized crystal structure of Sr3Zn2TcO8.

Values from the calculation:
* D(E_F): 5.071 states/eV/cell
* E_form (uncorrected): -1.925 eV/atom
* energy: -0.22201 Ha/atom
* symmetry: No. 164

Lattice parameters (Å, degrees): 5.602 5.602 7.367 90.00 90.00 120.00
Positions (direct):
Sr 0.667 0.333 0.363
Sr 0.000 0.000 0.000
O 0.839 0.679 0.656
O 0.161 0.321 0.344
O 0.667 0.333 0.057
Sr 0.333 0.667 0.637
Zn 0.667 0.333 0.810
O 0.839 0.161 0.656
O 0.679 0.839 0.344
Zn 0.333 0.667 0.190
O 0.161 0.839 0.344
Tc 0.000 0.000 0.500
O 0.321 0.161 0.656
O 0.333 0.667 0.943

---

Record 3
Density functional theory data (GGA-PBE) for an optimized crystal structure of Sr3ZnTc2O9.

Values from the calculation:
* D(E_F): 3.704 states/eV/cell
* E_form (uncorrected): -2.066 eV/atom
* energy: -0.25153 Ha/atom
* symmetry: No. 164

Lattice parameters (Å, degrees): 5.640 5.640 6.923 90.00 90.00 120.00
Positions (direct):
O 0.172 0.344 0.324
O 0.656 0.828 0.324
O 0.172 0.828 0.324
O 0.500 0.000 0.000
Tc 0.333 0.667 0.160
Sr 0.000 0.000 0.000
O 0.000 0.500 0.000
O 0.828 0.172 0.676
Zn 0.000 0.000 0.500
Tc 0.667 0.333 0.840
Sr 0.333 0.667 0.646
O 0.344 0.172 0.676
Sr 0.667 0.333 0.354
O 0.500 0.500 0.000
O 0.828 0.656 0.676

---

Record 4
Density functional theory data (GGA-PBE) for an optimized crystal structure of Sr2ZnTcO6.

Values from the calculation:
* D(E_F): 9.092 states/eV/cell
* E_form (uncorrected): -2.044 eV/atom
* energy: -0.23957 Ha/atom
* symmetry: No. 14

Lattice parameters (Å, degrees): 5.666 5.656 7.988 90.00 90.11 90.00
Positions (direct):
Sr 0.504 0.524 0.750
O 0.057 0.492 0.761
Sr 0.996 0.024 0.750
O 0.766 0.788 0.529
O 0.943 0.508 0.239
O 0.290 0.732 0.470
O 0.234 0.212 0.471
O 0.734 0.288 0.971
O 0.443 0.992 0.739
O 0.266 0.712 0.029
O 0.210 0.232 0.030
O 0.790 0.768 0.970
Tc 0.000 0.500 0.000
Sr 0.004 0.976 0.250
O 0.557 0.008 0.261
Sr 0.496 0.476 0.250
O 0.710 0.268 0.530
Zn 0.000 0.500 0.500
Zn 0.500 0.000 0.000
Tc 0.500 0.000 0.500

---

Record 5
Density functional theory data (GGA-PBE) for an optimized crystal structure of SrZnTc2O8.

Values from the calculation:
* D(E_F): 7.825 states/eV/cell
* E_form (uncorrected): -1.636 eV/atom
* energy: -0.25413 Ha/atom
* symmetry: No. 12

Lattice parameters (Å, degrees): 5.281 5.281 7.424 88.00 88.00 68.46
Positions (direct):
O 0.767 0.767 0.040
O 0.715 0.715 0.438
O 0.776 0.264 0.213
O 0.264 0.776 0.213
O 0.285 0.285 0.562
Sr 0.000 0.000 0.500
Tc 0.631 0.631 0.224
Tc 0.369 0.369 0.776
O 0.736 0.224 0.787
Zn 0.000 0.000 0.000
O 0.233 0.233 0.960
O 0.224 0.736 0.787

---

Record 6
Density functional theory data (GGA-PBE) for an optimized crystal structure of Sr2ZrTc3O12.

Values from the calculation:
* D(E_F): 8.031 states/eV/cell
* E_form (uncorrected): -1.953 eV/atom
* energy: -0.28106 Ha/atom
* symmetry: No. 166

Lattice parameters (Å, degrees): 7.495 7.495 7.495 58.84 58.84 58.84
Positions (direct):
Sr 0.302 0.302 0.302
O 0.303 0.939 0.303
Tc 0.500 0.000 0.000
O 0.061 0.697 0.697
O 0.939 0.303 0.303
O 0.697 0.061 0.697
O 0.697 0.697 0.061
Tc 0.000 0.500 0.000
O 0.920 0.920 0.344
Tc 0.000 0.000 0.500
Zr 0.000 0.000 0.000
O 0.080 0.656 0.080
O 0.303 0.303 0.939
O 0.920 0.344 0.920
O 0.080 0.080 0.656
Sr 0.698 0.698 0.698
O 0.344 0.920 0.920
O 0.656 0.080 0.080

---

Record 7
Density functional theory data (GGA-PBE) for an optimized crystal structure of Sr2ZrTcO6.

Values from the calculation:
* D(E_F): 2.852 states/eV/cell
* E_form (uncorrected): -2.588 eV/atom
* energy: -0.28631 Ha/atom
* symmetry: No. 123

Lattice parameters (Å, degrees): 4.113 4.113 8.189 90.00 90.00 90.00
Positions (direct):
O 0.000 0.500 0.500
O 0.500 0.000 0.000
O 0.500 0.000 0.500
O 0.500 0.500 0.258
Tc 0.500 0.500 0.500
Zr 0.500 0.500 0.000
O 0.500 0.500 0.742
Sr 0.000 0.000 0.738
O 0.000 0.500 0.000
Sr 0.000 0.000 0.262

---

Record 8
Density functional theory data (GGA-PBE) for an optimized crystal structure of SrZrTc2O8.

Values from the calculation:
* D(E_F): 2.648 states/eV/cell
* E_form (uncorrected): -1.987 eV/atom
* energy: -0.28933 Ha/atom
* symmetry: No. 164

Lattice parameters (Å, degrees): 5.867 5.867 6.965 90.00 90.00 120.00
Positions (direct):
Tc 0.667 0.333 0.223
O 0.318 0.159 0.305
O 0.667 0.333 0.969
O 0.682 0.841 0.695
O 0.333 0.667 0.031
O 0.159 0.318 0.695
Sr 0.000 0.000 0.000
O 0.841 0.682 0.305
Zr 0.000 0.000 0.500
Tc 0.333 0.667 0.777
O 0.841 0.159 0.305
O 0.159 0.841 0.695